1.
The following is a DFT calculation (PBE-GGA) of NaTm2PuSe4 after structural relaxation.

```
NaTm2PuSe4
1.0
-3.352 2.303 -0.081
-3.540 -5.027 3.527
2.989 4.516 4.711
Na Tm Pu Se
1 2 1 4
Direct
0.000 0.000 0.000
0.500 0.000 0.500
0.000 0.500 0.500
0.500 0.500 0.000
0.500 0.254 0.264
0.500 0.746 0.736
0.000 0.245 0.739
0.000 0.755 0.261
```

Calculated values
total moment: 6.01 Bohr magnetons per cell
E_tot: -6.454 eV per atom
symmetry: P2/m
raw formation energy: -1.637 eV per atom


2.
The following is a DFT calculation (PBE-GGA) of NaPu2U3Se6 after structural relaxation.

```
NaPu2U3Se6
1.0
-2.227 2.833 -1.779
-5.189 -5.926 -2.945
-2.291 0.956 8.931
Na Pu U Se
1 2 3 6
Direct
0.500 0.000 0.000
0.833 0.665 0.667
0.167 0.335 0.333
0.500 0.500 0.000
0.833 0.169 0.667
0.167 0.831 0.333
0.333 0.918 0.666
0.668 0.584 0.335
0.667 0.082 0.334
0.998 0.250 0.997
0.002 0.750 0.003
0.332 0.416 0.665
```

Calculated values
total moment: 14.06 Bohr magnetons per cell
E_tot: -8.262 eV per atom
symmetry: C2/m
raw formation energy: -1.199 eV per atom


3.
The following is a DFT calculation (PBE-GGA) of Na3PuU2Se6 after structural relaxation.

```
Na3PuU2Se6
1.0
-4.477 4.113 -3.896
-2.071 -6.584 2.121
-0.449 3.556 6.502
Na Pu U Se
3 1 2 6
Direct
0.165 0.835 0.500
0.835 0.165 0.500
0.500 0.500 0.500
0.000 0.000 0.000
0.333 0.667 0.000
0.667 0.333 0.000
0.922 0.584 0.767
0.739 0.739 0.234
0.078 0.416 0.233
0.584 0.922 0.767
0.261 0.261 0.766
0.416 0.078 0.233
```

Calculated values
total moment: 11.00 Bohr magnetons per cell
E_tot: -6.419 eV per atom
symmetry: C2/m
raw formation energy: -1.271 eV per atom